7
Lattice="3.4068 -0.0009 1.0302 -0.0627 5.6273 0.2196 -0.1970 -0.3257 6.8206" Properties=species:S:1:pos:R:3 comment="PBE Zr2Pa2Fe3, relaxed" e_form_ev_per_fu=-0.98 sg="C2/m, No. 12" energy_ev_per_atom=-8.92 pbc="T T T"
Pa 3.0122 1.9664 2.3550
Pa 0.1350 3.3343 5.7155
Fe 0.8374 1.7825 3.3949
Fe 0.0000 0.0000 0.0000
Fe 2.3098 3.5182 4.6756
Zr 1.0685 4.8032 2.6336
Zr 2.0787 0.4975 5.4369

=====

10
Lattice="3.5170 0.0000 0.0000 0.0000 7.3392 0.0000 0.0000 0.0000 7.3392" Properties=species:S:1:pos:R:3 comment="PBE Ce2Co2Ag, relaxed" e_form_ev_per_fu=-0.95 sg="P4/mbm, No. 127" energy_ev_per_atom=-5.98 pbc="T T T"
Ce 1.7585 6.1018 2.4322
Ce 1.7585 2.4322 1.2374
Ce 1.7585 4.9070 6.1018
Ce 1.7585 1.2374 4.9070
Co 0.0000 0.9677 2.7019
Co 0.0000 6.3715 4.6373
Co 0.0000 2.7019 6.3715
Co 0.0000 4.6373 0.9677
Ag 0.0000 3.6696 3.6696
Ag 0.0000 0.0000 0.0000

=====

18
Lattice="7.4903 0.0000 0.0000 -3.7452 6.4868 0.0000 0.0000 0.0000 13.4007" Properties=species:S:1:pos:R:3 comment="PBE NaSrNpBr6, relaxed" formation_energy_uncorrected_ev_per_atom=-1.620 sg="P-31c, No. 163" energy_ev_per_atom=-4.51 pbc="T T T"
Sr 0.0000 0.0000 0.0000
Sr 0.0000 0.0000 6.7003
Br 1.2337 2.2653 11.6811
Br 6.1454 2.2011 1.7196
Br 4.9117 0.0642 4.9807
Br -2.4002 4.2857 11.6811
Br 2.5787 0.0642 1.7196
Br 2.5114 4.2215 1.7196
Br -1.1665 6.4226 8.4199
Br 4.9789 4.2215 4.9807
Br 1.1665 6.4226 11.6811
Br -1.2337 2.2653 8.4199
Br 1.3449 2.2011 4.9807
Br 2.4002 4.2857 8.4199
Np 3.7452 2.1623 3.3502
Np 0.0000 4.3245 10.0505
Na 3.7452 2.1623 10.0505
Na 0.0000 4.3245 3.3502

=====

no.,spin magnetization (μB/f.u.)
1,0.000
2,0.000
3,4.000